1.
DFT (SCAN) results for a crystal of CrIr2 relaxed with PBEsol.

Lattice parameters (Å, degrees): 5.0141 5.0141 6.2796 103.45 103.45 30.94
Element x y z (fractional)
Cr (0.0297, 0.0297, 0.3076)
Cr (0.9703, 0.9703, 0.6924)
Ir (0.3147, 0.3147, 0.3685)
Ir (0.3643, 0.3643, 0.9715)
Ir (0.6357, 0.6357, 0.0285)
Ir (0.6853, 0.6853, 0.6315)

Values from the calculation:
* energy of formation: -0.243 eV per atom

2.
DFT (SCAN) results for a crystal of FeTe2W relaxed with PBEsol.

Lattice parameters (Å, degrees): 4.5868 4.5868 3.2921 90.00 90.00 90.00
Element x y z (fractional)
Fe (0.0000, 0.0000, 0.0000)
Te (0.0000, 0.5000, 0.5000)
Te (0.5000, 0.0000, 0.5000)
W (0.5000, 0.5000, 0.0000)

Values from the calculation:
* energy above the lowest structure with this stoichiometry: 0.7474 eV per atom
* formation energy without anion corrections: 0.769 eV/atom

3.
DFT (SCAN) results for a crystal of AlBiOs3 relaxed with PBEsol.

Lattice parameters (Å, degrees): 4.4927 4.4927 4.4927 90.00 90.00 90.00
Element x y z (fractional)
Al (0.0000, 0.0000, 0.0000)
Bi (0.5000, 0.5000, 0.5000)
Os (0.0000, 0.0000, 0.5000)
Os (0.0000, 0.5000, 0.0000)
Os (0.5000, 0.0000, 0.0000)

Values from the calculation:
* energy of formation: 1.610 eV per atom